Model A:
Here is a geometry-optimized Dy2CdOs structure from the Alexandria database. Energies are from PBE-GGA. Values from VASP.

The structure in Quantum ESPRESSO input format:
```
&SYSTEM
  ibrav = 0, nat = 4, ntyp = 3
/
ATOMIC_SPECIES
Cd 112.41 Cd.upf
Dy 162.50 Dy.upf
Os 190.23 Os.upf
CELL_PARAMETERS angstrom
5.013 0.000 0.000
2.507 4.342 0.000
2.507 1.447 4.093
ATOMIC_POSITIONS angstrom
Cd 5.013 2.894 2.047
Dy 7.520 4.342 3.070
Dy 2.507 1.447 1.023
Os 0.000 0.000 0.000
```

Computed properties:
Magnetic moment: 0.00 μB per cell
Symmetry: Fm-3m (225)
Crystal system: cubic


Model B:
Here is a geometry-optimized Dy2CdOs structure from the Alexandria database. Energies are from PBE-GGA. Values from VASP.

The structure in Quantum ESPRESSO input format:
```
&SYSTEM
  ibrav = 0, nat = 4, ntyp = 3
/
ATOMIC_SPECIES
Dy 162.50 Dy.upf
Cd 112.41 Cd.upf
Os 190.23 Os.upf
CELL_PARAMETERS angstrom
3.976 0.000 0.000
1.988 3.443 0.000
1.988 1.148 9.702
ATOMIC_POSITIONS angstrom
Dy 1.988 1.148 6.332
Dy 5.964 3.443 3.370
Cd 0.000 0.000 0.000
Os 3.976 2.295 4.851
```

Computed properties:
Magnetic moment: 0.00 μB per cell
Symmetry: R-3m (166)
Crystal system: trigonal


Model C:
Here is a geometry-optimized Dy2CdOs structure from the Alexandria database. Energies are from PBE-GGA. Values from VASP.

The structure in Quantum ESPRESSO input format:
```
&SYSTEM
  ibrav = 0, nat = 4, ntyp = 3
/
ATOMIC_SPECIES
Dy 162.50 Dy.upf
Os 190.23 Os.upf
Cd 112.41 Cd.upf
CELL_PARAMETERS angstrom
-0.360 -3.368 -0.629
3.310 -0.178 -0.940
2.004 -1.590 7.364
ATOMIC_POSITIONS angstrom
Dy 0.426 -0.338 1.566
Dy 1.578 -1.252 5.798
Os 1.475 -1.773 -0.784
Cd 2.477 -2.568 2.898
```

Computed properties:
Magnetic moment: 0.00 μB per cell
Symmetry: P4/mmm (123)
Crystal system: tetragonal


Stability check: which of them is most stable? model C.


Model A:
Here is a geometry-optimized Dy4CdOs structure from the Alexandria database. Energies are from PBE-GGA. Values from VASP.

The structure in Quantum ESPRESSO input format:
```
&SYSTEM
  ibrav = 0, nat = 12, ntyp = 3
/
ATOMIC_SPECIES
Dy 162.50 Dy.upf
Cd 112.41 Cd.upf
Os 190.23 Os.upf
CELL_PARAMETERS angstrom
6.125 -0.762 0.000
-2.545 8.728 0.000
-1.790 -3.983 6.438
ATOMIC_POSITIONS angstrom
Dy -1.181 5.240 4.247
Dy -1.608 2.068 5.433
Dy -1.454 -1.687 5.433
Dy 3.398 1.916 1.006
Dy 1.698 3.107 4.247
Dy 2.971 -1.257 2.191
Dy 3.244 5.670 1.006
Dy 0.092 0.876 2.191
Cd 0.258 4.174 1.606
Cd 1.531 -0.190 4.832
Os -2.804 4.555 6.431
Os 4.593 -0.571 0.007
```

Computed properties:
Magnetic moment: 0.00 μB per cell
Symmetry: C2/c (15)
Crystal system: monoclinic


Model B:
Here is a geometry-optimized Dy4CdOs structure from the Alexandria database. Energies are from PBE-GGA. Values from VASP.

The structure in Quantum ESPRESSO input format:
```
&SYSTEM
  ibrav = 0, nat = 24, ntyp = 3
/
ATOMIC_SPECIES
Dy 162.50 Dy.upf
Cd 112.41 Cd.upf
Os 190.23 Os.upf
CELL_PARAMETERS angstrom
-7.083 5.664 -3.247
-6.392 3.732 6.165
0.112 9.438 1.929
ATOMIC_POSITIONS angstrom
Dy -10.133 16.295 2.207
Dy -5.398 7.608 1.958
Dy -6.503 5.905 4.735
Dy -6.930 7.098 -1.081
Dy -9.912 11.957 5.063
Dy -12.615 14.118 3.824
Dy -10.880 9.405 2.729
Dy -8.120 9.785 0.710
Dy -10.176 12.694 1.471
Dy -6.861 12.930 0.111
Dy -9.869 15.558 5.799
Dy -6.434 11.736 5.927
Dy -2.484 9.430 2.118
Dy -7.854 9.042 4.327
Dy -5.355 11.234 2.699
Dy -7.430 14.134 3.446
Cd -4.543 5.016 -0.220
Cd -2.232 6.227 1.442
Cd -4.321 4.395 2.802
Cd -2.268 3.197 0.823
Os -5.016 8.992 4.409
Os -8.219 7.312 2.104
Os -5.323 9.852 0.218
Os -8.169 11.514 2.963
```

Computed properties:
Magnetic moment: 0.00 μB per cell
Symmetry: F-43m (216)
Crystal system: cubic


Stability check: which of them is most stable? model B.


Model A:
Here is a geometry-optimized Dy2PaCd structure from the Alexandria database. Energies are from PBE-GGA. Values from VASP.

The structure in Quantum ESPRESSO input format:
```
&SYSTEM
  ibrav = 0, nat = 4, ntyp = 3
/
ATOMIC_SPECIES
Cd 112.41 Cd.upf
Pa 231.04 Pa.upf
Dy 162.50 Dy.upf
CELL_PARAMETERS angstrom
-2.703 -1.416 1.134
-0.776 -3.017 -0.945
5.010 -5.928 9.207
ATOMIC_POSITIONS angstrom
Cd 0.765 -5.181 4.699
Pa 0.000 0.000 0.000
Dy 3.336 -4.720 6.726
Dy -1.805 -5.641 2.671
```

Computed properties:
Magnetic moment: 0.00 μB per cell
Symmetry: R-3m (166)
Crystal system: trigonal


Model B:
Here is a geometry-optimized Dy2PaCd structure from the Alexandria database. Energies are from PBE-GGA. Values from VASP.

The structure in Quantum ESPRESSO input format:
```
&SYSTEM
  ibrav = 0, nat = 4, ntyp = 3
/
ATOMIC_SPECIES
Cd 112.41 Cd.upf
Dy 162.50 Dy.upf
Pa 231.04 Pa.upf
CELL_PARAMETERS angstrom
-2.477 -2.258 0.709
2.321 -2.518 0.091
1.235 1.461 8.962
ATOMIC_POSITIONS angstrom
Cd -0.078 -2.388 0.400
Dy 0.938 1.109 6.806
Dy 0.297 0.351 2.156
Pa 0.540 -1.657 4.881
```

Computed properties:
Magnetic moment: 0.13 μB per cell
Symmetry: P4/mmm (123)
Crystal system: tetragonal


Model C:
Here is a geometry-optimized Dy2PaCd structure from the Alexandria database. Energies are from PBE-GGA. Values from VASP.

The structure in Quantum ESPRESSO input format:
```
&SYSTEM
  ibrav = 0, nat = 4, ntyp = 3
/
ATOMIC_SPECIES
Pa 231.04 Pa.upf
Dy 162.50 Dy.upf
Cd 112.41 Cd.upf
CELL_PARAMETERS angstrom
-0.829 3.861 -2.219
-0.821 -2.524 -4.086
-4.720 -0.346 1.162
ATOMIC_POSITIONS angstrom
Pa -3.185 0.496 -2.571
Dy -2.360 -0.173 0.581
Dy -0.411 -1.262 -2.043
Cd -0.415 1.931 -1.109
```

Computed properties:
Magnetic moment: 0.00 μB per cell
Symmetry: P4/mmm (123)
Crystal system: tetragonal


Stability check: which of them is most stable? model B.


Model A:
Here is a geometry-optimized DyCd2Pb structure from the Alexandria database. Energies are from PBE-GGA. Values from VASP.

The structure in Quantum ESPRESSO input format:
```
&SYSTEM
  ibrav = 0, nat = 4, ntyp = 3
/
ATOMIC_SPECIES
Cd 112.41 Cd.upf
Pb 207.20 Pb.upf
Dy 162.50 Dy.upf
CELL_PARAMETERS angstrom
4.906 0.000 0.000
0.000 4.522 0.000
0.000 0.000 4.522
ATOMIC_POSITIONS angstrom
Cd 0.000 0.000 2.261
Cd 0.000 2.261 0.000
Pb 2.453 0.000 0.000
Dy 2.453 2.261 2.261
```

Computed properties:
Magnetic moment: 0.00 μB per cell
Symmetry: P4/mmm (123)
Crystal system: tetragonal


Model B:
Here is a geometry-optimized DyCd2Pb structure from the Alexandria database. Energies are from PBE-GGA. Values from VASP.

The structure in Quantum ESPRESSO input format:
```
&SYSTEM
  ibrav = 0, nat = 4, ntyp = 3
/
ATOMIC_SPECIES
Cd 112.41 Cd.upf
Dy 162.50 Dy.upf
Pb 207.20 Pb.upf
CELL_PARAMETERS angstrom
-4.095 -0.479 1.912
1.952 -1.603 3.779
1.366 5.654 -1.058
ATOMIC_POSITIONS angstrom
Cd -1.900 2.067 1.849
Cd 1.123 1.505 2.783
Dy 0.000 0.000 0.000
Pb -1.072 -1.041 2.845
```

Computed properties:
Magnetic moment: 0.00 μB per cell
Symmetry: C2/m (12)
Crystal system: monoclinic


Model C:
Here is a geometry-optimized DyCd2Pb structure from the Alexandria database. Energies are from PBE-GGA. Values from VASP.

The structure in Quantum ESPRESSO input format:
```
&SYSTEM
  ibrav = 0, nat = 4, ntyp = 3
/
ATOMIC_SPECIES
Dy 162.50 Dy.upf
Pb 207.20 Pb.upf
Cd 112.41 Cd.upf
CELL_PARAMETERS angstrom
-2.185 0.508 4.811
-5.282 0.024 0.527
-2.462 -4.131 2.247
ATOMIC_POSITIONS angstrom
Dy 0.000 0.000 0.000
Pb -4.964 -1.800 3.792
Cd -7.447 -2.700 5.689
Cd -2.482 -0.900 1.896
```

Computed properties:
Magnetic moment: 0.00 μB per cell
Symmetry: Fm-3m (225)
Crystal system: cubic


Stability check: which of them is most stable? model A.


Model A:
Here is a geometry-optimized DyCdPb3 structure from the Alexandria database. Energies are from PBE-GGA. Values from VASP.

The structure in Quantum ESPRESSO input format:
```
&SYSTEM
  ibrav = 0, nat = 10, ntyp = 3
/
ATOMIC_SPECIES
Dy 162.50 Dy.upf
Pb 207.20 Pb.upf
Cd 112.41 Cd.upf
CELL_PARAMETERS angstrom
5.411 0.000 0.000
0.000 6.554 0.000
0.000 0.000 8.787
ATOMIC_POSITIONS angstrom
Dy 2.706 0.000 0.942
Dy 0.000 3.277 7.845
Pb 0.000 4.900 2.345
Pb 2.706 4.931 6.442
Pb 2.706 3.277 0.774
Pb 0.000 0.000 8.013
Pb 0.000 1.654 2.345
Pb 2.706 1.623 6.442
Cd 0.000 0.000 4.986
Cd 2.706 3.277 3.801
```

Computed properties:
Magnetic moment: 0.00 μB per cell
Symmetry: Pmmn (59)
Crystal system: orthorhombic


Model B:
Here is a geometry-optimized DyCdPb3 structure from the Alexandria database. Energies are from PBE-GGA. Values from VASP.

The structure in Quantum ESPRESSO input format:
```
&SYSTEM
  ibrav = 0, nat = 5, ntyp = 3
/
ATOMIC_SPECIES
Pb 207.20 Pb.upf
Cd 112.41 Cd.upf
Dy 162.50 Dy.upf
CELL_PARAMETERS angstrom
-0.924 4.377 -0.907
-4.984 -3.117 1.428
1.749 -0.794 5.684
ATOMIC_POSITIONS angstrom
Pb -3.978 -0.598 5.381
Pb -3.806 1.202 2.460
Pb -0.818 -0.243 3.897
Cd -2.767 -1.313 0.817
Dy -0.798 1.528 1.076
```

Computed properties:
Magnetic moment: 0.00 μB per cell
Symmetry: P1 (1)
Crystal system: triclinic


Stability check: which of them is most stable? model B.


Model A:
Here is a geometry-optimized DyCd4Pb structure from the Alexandria database. Energies are from PBE-GGA. Values from VASP.

The structure in Quantum ESPRESSO input format:
```
&SYSTEM
  ibrav = 0, nat = 12, ntyp = 3
/
ATOMIC_SPECIES
Pb 207.20 Pb.upf
Dy 162.50 Dy.upf
Cd 112.41 Cd.upf
CELL_PARAMETERS angstrom
5.084 -0.001 0.001
0.002 6.142 2.227
-0.001 0.029 9.503
ATOMIC_POSITIONS angstrom
Pb 3.814 3.809 3.866
Pb 1.271 2.361 7.864
Dy 3.813 0.761 2.691
Dy 1.272 5.409 9.039
Cd 1.273 5.928 2.916
Cd 1.273 4.974 5.734
Cd 3.812 1.197 5.996
Cd 3.815 4.450 7.176
Cd 1.272 2.793 1.779
Cd 1.270 1.720 4.554
Cd 3.813 3.377 9.951
Cd 3.812 0.242 8.814
```

Computed properties:
Magnetic moment: 0.00 μB per cell
Symmetry: Cmcm (63)
Crystal system: orthorhombic


Model B:
Here is a geometry-optimized DyCd4Pb structure from the Alexandria database. Energies are from PBE-GGA. Values from VASP.

The structure in Quantum ESPRESSO input format:
```
&SYSTEM
  ibrav = 0, nat = 6, ntyp = 3
/
ATOMIC_SPECIES
Dy 162.50 Dy.upf
Cd 112.41 Cd.upf
Pb 207.20 Pb.upf
CELL_PARAMETERS angstrom
-3.999 1.348 4.224
-5.766 0.600 -1.430
-3.960 -4.100 1.780
ATOMIC_POSITIONS angstrom
Dy -3.431 -0.538 1.143
Cd -5.697 -1.644 3.571
Cd -8.575 -1.344 2.857
Cd -6.599 0.702 1.969
Cd -6.579 -2.017 0.749
Pb 0.000 0.000 0.000
```

Computed properties:
Magnetic moment: 0.00 μB per cell
Symmetry: F-43m (216)
Crystal system: cubic


Stability check: which of them is most stable? model A.


Model A:
Here is a geometry-optimized Dy2CdPb3 structure from the Alexandria database. Energies are from PBE-GGA. Values from VASP.

The structure in Quantum ESPRESSO input format:
```
&SYSTEM
  ibrav = 0, nat = 6, ntyp = 3
/
ATOMIC_SPECIES
Dy 162.50 Dy.upf
Pb 207.20 Pb.upf
Cd 112.41 Cd.upf
CELL_PARAMETERS angstrom
4.305 0.000 -1.362
0.000 4.675 0.000
0.192 0.000 8.091
ATOMIC_POSITIONS angstrom
Dy 0.712 2.337 2.250
Dy 3.785 2.337 4.480
Pb 1.536 0.000 4.855
Pb 2.152 2.337 -0.681
Pb 2.961 0.000 1.875
Cd 0.000 0.000 0.000
```

Computed properties:
Magnetic moment: 0.00 μB per cell
Symmetry: Cmmm (65)
Crystal system: orthorhombic


Model B:
Here is a geometry-optimized Dy2CdPb3 structure from the Alexandria database. Energies are from PBE-GGA. Values from VASP.

The structure in Quantum ESPRESSO input format:
```
&SYSTEM
  ibrav = 0, nat = 12, ntyp = 3
/
ATOMIC_SPECIES
Pb 207.20 Pb.upf
Dy 162.50 Dy.upf
Cd 112.41 Cd.upf
CELL_PARAMETERS angstrom
-2.745 1.117 -4.178
-7.434 -0.224 4.825
3.296 8.230 0.036
ATOMIC_POSITIONS angstrom
Pb -5.061 7.723 2.293
Pb -2.459 8.304 -2.400
Pb -5.758 1.363 1.052
Pb -8.123 3.842 0.128
Pb -0.094 5.825 -1.476
Pb -3.158 1.945 -3.643
Dy -5.246 4.504 1.556
Dy -2.971 5.163 -2.903
Dy -2.617 6.575 0.382
Dy -5.600 3.092 -1.730
Cd -2.699 3.155 -0.478
Cd -5.518 6.511 -0.869
```

Computed properties:
Magnetic moment: 0.00 μB per cell
Symmetry: Cmcm (63)
Crystal system: orthorhombic


Stability check: which of them is most stable? model A.


Model A:
Here is a geometry-optimized DyTmCdPb structure from the Alexandria database. Energies are from PBE-GGA. Values from VASP.

The structure in Quantum ESPRESSO input format:
```
&SYSTEM
  ibrav = 0, nat = 4, ntyp = 4
/
ATOMIC_SPECIES
Pb 207.20 Pb.upf
Cd 112.41 Cd.upf
Dy 162.50 Dy.upf
Tm 168.93 Tm.upf
CELL_PARAMETERS angstrom
4.927 0.000 0.000
0.000 4.927 0.000
-2.464 -2.464 4.359
ATOMIC_POSITIONS angstrom
Pb 0.000 0.000 4.359
Cd 2.464 2.463 4.359
Dy 0.000 2.464 2.179
Tm 2.464 0.000 2.180
```

Computed properties:
Magnetic moment: 0.29 μB per cell
Symmetry: I-4m2 (119)
Crystal system: tetragonal


Model B:
Here is a geometry-optimized DyTmCdPb structure from the Alexandria database. Energies are from PBE-GGA. Values from VASP.

The structure in Quantum ESPRESSO input format:
```
&SYSTEM
  ibrav = 0, nat = 4, ntyp = 4
/
ATOMIC_SPECIES
Pb 207.20 Pb.upf
Cd 112.41 Cd.upf
Tm 168.93 Tm.upf
Dy 162.50 Dy.upf
CELL_PARAMETERS angstrom
5.310 0.000 0.000
2.655 4.599 0.000
2.655 1.533 4.336
ATOMIC_POSITIONS angstrom
Pb 0.000 0.000 0.000
Cd 5.310 3.066 2.168
Tm 7.965 4.599 3.252
Dy 2.655 1.533 1.084
```

Computed properties:
Magnetic moment: 0.00 μB per cell
Symmetry: F-43m (216)
Crystal system: cubic


Stability check: which of them is most stable? model A.